# 1
Density functional theory data (PBE-GGA) for an optimized crystal structure of Co4As2N.

crystal system: tetragonal
total magnetic moment: 3.0 μB per formula unit

Lattice parameters (Å, degrees): 3.7055 3.7055 6.8419 74.29 74.29 90.00
Last column: magnetic moment on the atom in μB.
Sites, in units of the cell vectors:
N1 0.0000 0.0000 0.0000  0.04
As1 0.3366 0.3366 0.3268  0.01
As2 0.6634 0.6634 0.6732  0.01
Co1 0.5000 0.0000 0.0000  0.94
Co2 0.1451 0.1451 0.7099  0.56
Co3 0.0000 0.5000 0.0000  0.94
Co4 0.8549 0.8549 0.2901  0.56

# 2
Density functional theory data (PBE-GGA) for an optimized crystal structure of CoAs2N.

crystal system: tetragonal
total magnetic moment: 0.0 μB per formula unit

Lattice parameters (Å, degrees): 5.1121 5.1121 5.9129 64.39 64.39 90.00
Sites, in units of the cell vectors:
Co1 0.0000 0.0000 0.0000
Co2 0.7500 0.2500 0.5000
As1 0.6013 0.1250 0.2500
As2 0.3750 0.3987 0.7500
As3 0.1487 0.6250 0.2500
As4 0.8750 0.8513 0.7500
N1 0.5000 0.5000 0.0000
N2 0.2500 0.7500 0.5000

# 3
Density functional theory data (PBE-GGA) for an optimized crystal structure of NbCoAsN2.

crystal system: tetragonal
total magnetic moment: 2.2 μB per formula unit

Lattice parameters (Å, degrees): 3.9340 5.5946 3.9340 90.00 90.00 90.00
Last column: magnetic moment on the atom in μB.
Sites, in units of the cell vectors:
Nb1 0.0000 0.0000 0.0000  0.04
Co1 0.5000 0.5000 0.5000  2.20
N1 0.0000 0.0000 0.5000  -0.11
N2 0.5000 0.0000 0.0000  -0.04
As1 0.0000 0.5000 0.0000  0.03

# 4
Density functional theory data (PBE-GGA) for an optimized crystal structure of Pa2CoAsN5.

crystal system: orthorhombic
total magnetic moment: 0.0 μB per formula unit

Lattice parameters (Å, degrees): 3.2146 6.8688 10.0511 90.00 90.00 103.53
Sites, in units of the cell vectors:
Pa1 0.9217 0.8435 0.1897
Pa2 0.0783 0.1565 0.6897
Pa3 0.8295 0.6591 0.8431
Pa4 0.1705 0.3409 0.3431
N1 0.6508 0.3015 0.8258
N2 0.9409 0.8818 0.5384
N3 0.3492 0.6985 0.3258
N4 0.0591 0.1182 0.0384
N5 0.4519 0.9038 0.7791
N6 0.2701 0.5402 0.6523
N7 0.3868 0.7735 0.0149
N8 0.7299 0.4598 0.1523
N9 0.5481 0.0962 0.2791
N10 0.6132 0.2265 0.5149
Co1 0.5219 0.0438 0.9427
Co2 0.4781 0.9562 0.4427
As1 0.1965 0.3930 0.0379
As2 0.8035 0.6070 0.5379

# 5
Density functional theory data (PBE-GGA) for an optimized crystal structure of PrCo2AsN.

crystal system: orthorhombic
total magnetic moment: 1.5 μB per formula unit

Lattice parameters (Å, degrees): 3.7403 5.8288 6.9466 90.00 90.00 108.71
Last column: magnetic moment on the atom in μB.
Sites, in units of the cell vectors:
Pr1 0.4580 0.9160 0.7500  0.01
Pr2 0.5420 0.0840 0.2500  0.01
N1 0.0000 0.0000 0.0000  0.14
N2 0.0000 0.0000 0.5000  0.14
Co1 0.8365 0.6730 0.0525  0.65
Co2 0.1635 0.3270 0.9475  0.65
Co3 0.8365 0.6730 0.4475  0.65
Co4 0.1635 0.3270 0.5525  0.65
As1 0.2695 0.5390 0.2500  -0.01
As2 0.7305 0.4610 0.7500  -0.01

# 6
Density functional theory data (PBE-GGA) for an optimized crystal structure of RbCoAsN2.

crystal system: tetragonal
total magnetic moment: 4.2 μB per formula unit

Lattice parameters (Å, degrees): 4.4643 5.3472 4.4643 90.00 90.00 90.00
Last column: magnetic moment on the atom in μB.
Sites, in units of the cell vectors:
As1 0.5000 0.5000 0.5000  -0.16
Rb1 0.0000 0.0000 0.0000  0.00
Co1 0.0000 0.5000 0.0000  2.05
N1 0.0000 0.0000 0.5000  0.91
N2 0.5000 0.0000 0.0000  0.79

Number 1: formation energy from raw total energies 0.831 eV per formula unit, total DFT energy (no corrections) -6.460 eV per atom. Number 2: formation energy from raw total energies 1.578 eV per formula unit, total DFT energy (no corrections) -5.788 eV per atom. Number 3: formation energy from raw total energies 4.271 eV per formula unit, total DFT energy (no corrections) -6.841 eV per atom. Number 4: formation energy from raw total energies -5.585 eV per formula unit, total DFT energy (no corrections) -8.662 eV per atom. Number 5: formation energy from raw total energies -3.501 eV per formula unit, total DFT energy (no corrections) -7.093 eV per atom. Number 6: formation energy from raw total energies 15.285 eV per formula unit, total DFT energy (no corrections) -2.818 eV per atom.